(1)
The following is a PBE calculation of a geometry-optimized LaNd6Dy5 structure, from the Alexandria database.

Results
Magnetic moment in μB per formula unit: 0.00
V in A^3/atom: 33.824
Fermi-level density of states in states/eV per cell: 35.994
Energy of formation from the pure elements in meV per atom: 19

```
data_LaNd6Dy5
_chemical_formula_sum 'La2 Nd12 Dy10'
_cell_length_a 5.143
_cell_length_b 10.248
_cell_length_c 15.402
_cell_angle_alpha 90.00
_cell_angle_beta 90.00
_cell_angle_gamma 90.00
_space_group_name_H-M_alt 'I m m m'
_space_group_IT_number 71
_space_group_name_Hall '-I 2 2'
loop_
_atom_site_label
_atom_site_fract_x
_atom_site_fract_y
_atom_site_fract_z
La1 0.000 0.000 0.000
Nd1 0.000 0.247 0.500
Nd2 0.000 0.252 0.167
Dy1 0.000 0.000 0.333
Dy2 0.000 0.500 0.000
Dy3 0.000 0.500 0.332
```

(2)
The following is a PBE calculation of a geometry-optimized Ta2CdPt structure, from the Alexandria database.

Results
Magnetic moment in μB per formula unit: 0.00
V in A^3/atom: 17.637
Fermi-level density of states in states/eV per cell: 2.841
Energy of formation from the pure elements in meV per atom: -94

```
data_Ta2CdPt
_chemical_formula_sum 'Ta2 Cd1 Pt1'
_cell_length_a 2.869
_cell_length_b 4.203
_cell_length_c 5.849
_cell_angle_alpha 90.00
_cell_angle_beta 90.49
_cell_angle_gamma 90.00
_space_group_name_H-M_alt 'P 1 2/m 1'
_space_group_IT_number 10
_space_group_name_Hall '-P 2y'
loop_
_atom_site_label
_atom_site_fract_x
_atom_site_fract_y
_atom_site_fract_z
Ta1 0.002 0.000 0.260
Cd1 0.500 0.500 0.000
Pt1 0.500 0.500 0.500
```

(3)
The following is a PBE calculation of a geometry-optimized LaPBrO2 structure, from the Alexandria database.

Results
Magnetic moment in μB per formula unit: 0.00
V in A^3/atom: 17.406
Energy above the lowest structure with this stoichiometry in meV per atom: 319
Fermi-level density of states in states/eV per cell: 1.023
Raw formation energy in eV per formula unit: -2.190

```
data_LaPBrO2
_chemical_formula_sum 'La1 P1 Br1 O2'
_cell_length_a 4.306
_cell_length_b 4.306
_cell_length_c 4.694
_cell_angle_alpha 90.00
_cell_angle_beta 90.00
_cell_angle_gamma 90.00
_space_group_name_H-M_alt 'P 4/m m m'
_space_group_IT_number 123
_space_group_name_Hall '-P 4 2'
loop_
_atom_site_label
_atom_site_fract_x
_atom_site_fract_y
_atom_site_fract_z
La1 0.000 0.000 0.000
P1 0.500 0.500 0.000
Br1 0.500 0.500 0.500
O1 0.000 0.500 0.500
```

(4)
The following is a PBE calculation of a geometry-optimized Ca2NbHgW structure, from the Alexandria database.

Results
Magnetic moment in μB per formula unit: 0.00
V in A^3/atom: 28.944
Fermi-level density of states in states/eV per cell: 10.753
Energy of formation from the pure elements in meV per atom: 2103

```
data_Ca2NbHgW
_chemical_formula_sum 'Ca2 Nb1 Hg1 W1'
_cell_length_a 5.267
_cell_length_b 5.267
_cell_length_c 5.216
_cell_angle_alpha 90.00
_cell_angle_beta 90.00
_cell_angle_gamma 90.00
_space_group_name_H-M_alt 'P 4/m m m'
_space_group_IT_number 123
_space_group_name_Hall '-P 4 2'
loop_
_atom_site_label
_atom_site_fract_x
_atom_site_fract_y
_atom_site_fract_z
Ca1 0.000 0.500 0.000
Nb1 0.000 0.000 0.000
Hg1 0.000 0.000 0.500
W1 0.500 0.500 0.500
```

(5)
The following is a PBE calculation of a geometry-optimized CaPr2Nd structure, from the Alexandria database.

Results
Magnetic moment in μB per formula unit: 0.00
V in A^3/atom: 37.102
Energy above the lowest structure with this stoichiometry in meV per atom: 0
Fermi-level density of states in states/eV per cell: 18.589
Energy of formation from the pure elements in meV per atom: 30

```
data_CaPr2Nd
_chemical_formula_sum 'Ca3 Pr6 Nd3'
_cell_length_a 3.7266
_cell_length_b 3.7266
_cell_length_c 37.0182
_cell_angle_alpha 90.00
_cell_angle_beta 90.00
_cell_angle_gamma 120.00
_space_group_name_H-M_alt 'R 3 m'
_space_group_IT_number 160
_space_group_name_Hall 'R 3 -2"'
loop_
_atom_site_label
_atom_site_fract_x
_atom_site_fract_y
_atom_site_fract_z
Ca1 0.0000 0.0000 0.0000
Pr1 0.0000 0.0000 0.5795
Pr2 0.0000 0.0000 0.7531
Nd1 0.0000 0.0000 0.1661
```

(6)
The following is a PBE calculation of a geometry-optimized Ce5PaGe4 structure, from the Alexandria database.

Results
Magnetic moment in μB per formula unit: 4.15
V in A^3/atom: 24.879
Fermi-level density of states in states/eV per cell: 45.457
Energy of formation from the pure elements in meV per atom: -524

```
data_Ce5PaGe4
_chemical_formula_sum 'Ce10 Pa2 Ge8'
_cell_length_a 15.098
_cell_length_b 4.444
_cell_length_c 7.819
_cell_angle_alpha 90.00
_cell_angle_beta 108.45
_cell_angle_gamma 90.00
_space_group_name_H-M_alt 'C 1 2/m 1'
_space_group_IT_number 12
_space_group_name_Hall '-C 2y'
loop_
_atom_site_label
_atom_site_fract_x
_atom_site_fract_y
_atom_site_fract_z
Ce1 0.000 0.000 0.000
Ce2 0.130 0.500 0.956
Ce3 0.232 0.000 0.372
Pa1 0.000 0.000 0.500
Ge1 0.072 0.500 0.311
Ge2 0.181 0.000 0.764
```

(7)
The following is a PBE calculation of a geometry-optimized MnCdOs2 structure, from the Alexandria database.

Results
Magnetic moment in μB per formula unit: 2.40
V in A^3/atom: 15.411
Fermi-level density of states in states/eV per cell: 7.610
Energy of formation from the pure elements in meV per atom: 463

```
data_MnCdOs2
_chemical_formula_sum 'Mn2 Cd2 Os4'
_cell_length_a 2.881
_cell_length_b 4.647
_cell_length_c 9.209
_cell_angle_alpha 90.00
_cell_angle_beta 90.00
_cell_angle_gamma 90.00
_space_group_name_H-M_alt 'C m m m'
_space_group_IT_number 65
_space_group_name_Hall '-C 2 2'
loop_
_atom_site_label
_atom_site_fract_x
_atom_site_fract_y
_atom_site_fract_z
Mn1 0.000 0.000 0.000
Cd1 0.000 0.000 0.500
Os1 0.000 0.500 0.223
```

(8)
The following is a PBE calculation of a geometry-optimized Ti4GeAs2 structure, from the Alexandria database.

Results
Magnetic moment in μB per formula unit: 0.00
V in A^3/atom: 17.668
Energy above the lowest structure with this stoichiometry in meV per atom: 0
Fermi-level density of states in states/eV per cell: 11.007
Energy of formation from the pure elements in meV per atom: -606

```
data_Ti4GeAs2
_chemical_formula_sum 'Ti12 Ge3 As6'
_cell_length_a 3.9730
_cell_length_b 3.9730
_cell_length_c 27.1423
_cell_angle_alpha 90.00
_cell_angle_beta 90.00
_cell_angle_gamma 120.00
_space_group_name_H-M_alt 'R -3 m'
_space_group_IT_number 166
_space_group_name_Hall '-R 3 2"'
loop_
_atom_site_label
_atom_site_fract_x
_atom_site_fract_y
_atom_site_fract_z
Ti1 0.0000 0.0000 0.1208
Ti2 0.0000 0.0000 0.3656
Ge1 0.0000 0.0000 0.5000
As1 0.0000 0.0000 0.2654
```